1.
Entry from Alexandria via LeMat-Bulk: a relaxed structure of CsGa2SO (GGA-PBEsol).

a b c (Å): 4.7111 4.7111 5.0279
angles (deg): 90.00 90.00 90.00
Space group P4/mmm (No. 123)
Unique sites:
Cs 0.0000 0.0000 0.0000 [1 per cell]
Ga 0.0000 0.5000 0.5000 [2 per cell]
S 0.5000 0.5000 0.0000 [1 per cell]
O 0.5000 0.5000 0.5000 [1 per cell]

Calculated values
As for the volume: 112 Å³/cell. The calculation puts the total energy at -17.53 eV per cell. The raw formation energy comes out at -0.3 eV/f.u. The calculation puts the size of the total moment at 0.001 μB per formula unit.

2.
Entry from Alexandria via LeMat-Bulk: a relaxed structure of MnTcCl2 (GGA-PBEsol).

a b c (Å): 6.1745 6.1745 6.1745
angles (deg): 90.00 90.00 90.00
Space group Fm-3m (No. 225)
Unique sites:
Mn 0.0000 0.0000 0.0000 [4 per cell]
Tc 0.0000 0.0000 0.5000 [4 per cell]
Cl 0.2500 0.2500 0.2500 [8 per cell]

Calculated values
As for the volume: 235 Å³/cell. The calculation puts the total energy at -91.05 eV per cell. The raw formation energy comes out at 2.3 eV/f.u. The calculation puts the size of the total moment at 1.962 μB per formula unit.